# GGA-PBE Th6CoBr15, optimized geometry
data_Th6CoBr15
_symmetry_space_group_name_H-M 'I m -3 m'
_symmetry_Int_Tables_number 229
_symmetry_space_group_name_Hall '-I 4 2 3'
_cell_length_a 11.694
_cell_length_b 11.694
_cell_length_c 11.694
_cell_angle_alpha 90.00
_cell_angle_beta 90.00
_cell_angle_gamma 90.00
loop_
_atom_site_label
_atom_site_fract_x
_atom_site_fract_y
_atom_site_fract_z
Th1 0.000 0.000 0.238
Co1 0.000 0.000 0.000
Br1 0.000 0.000 0.500
Br2 0.000 0.251 0.251
# magnetic moment	0.01	μB per formula unit
# energy	-5.040	eV per atom


# GGA-PBE CsTlPdBr4, optimized geometry
data_CsTlPdBr4
_symmetry_space_group_name_H-M 'P m m m'
_symmetry_Int_Tables_number 47
_symmetry_space_group_name_Hall '-P 2 2'
_cell_length_a 4.608
_cell_length_b 7.463
_cell_length_c 7.886
_cell_angle_alpha 90.00
_cell_angle_beta 90.00
_cell_angle_gamma 90.00
loop_
_atom_site_label
_atom_site_fract_x
_atom_site_fract_y
_atom_site_fract_z
Cs1 0.000 0.000 0.000
Tl1 0.000 0.500 0.500
Pd1 0.500 0.000 0.500
Br1 0.500 0.238 0.281
# energy	-3.079	eV per atom


# GGA-PBE Gd2ErMg3Tl2Zn, optimized geometry
data_Gd2ErMg3Tl2Zn
_symmetry_space_group_name_H-M 'A m m 2'
_symmetry_Int_Tables_number 38
_symmetry_space_group_name_Hall 'A 2 -2'
_cell_length_a 4.573
_cell_length_b 12.928
_cell_length_c 7.550
_cell_angle_alpha 90.00
_cell_angle_beta 90.00
_cell_angle_gamma 90.00
loop_
_atom_site_label
_atom_site_fract_x
_atom_site_fract_y
_atom_site_fract_z
Gd1 0.000 0.207 0.000
Er1 0.000 0.000 0.379
Mg1 0.500 0.000 0.026
Mg2 0.500 0.118 0.674
Tl1 0.500 0.165 0.293
Zn1 0.000 0.000 0.788
# magnetic moment	0.00	μB per formula unit
# energy	-3.046	eV per atom


# GGA-PBE ZrIn, optimized geometry
data_ZrIn
_symmetry_space_group_name_H-M 'P m m n'
_symmetry_Int_Tables_number 59
_cell_length_a 3.160
_cell_length_b 5.391
_cell_length_c 10.941
_cell_angle_alpha 90.00
_cell_angle_beta 90.00
_cell_angle_gamma 90.00
loop_
_symmetry_equiv_pos_as_xyz
'x,y,z'
'-x,-y,-z'
'-x+1/2,-y+1/2,z'
'x+1/2,y+1/2,-z'
'x+1/2,-y,-z'
'-x+1/2,y,z'
'-x,y+1/2,-z'
'x,-y+1/2,z'
loop_
_atom_site_label
_atom_site_fract_x
_atom_site_fract_y
_atom_site_fract_z
Zr1 0.250 0.250 0.046
Zr2 0.250 0.750 0.201
In1 0.250 0.250 0.550
In2 0.250 0.750 0.708
# magnetic moment	0.00	μB per formula unit
# energy	-5.730	eV per atom


# GGA-PBE ZrBe, optimized geometry
data_ZrBe
_symmetry_space_group_name_H-M 'P n m a'
_symmetry_Int_Tables_number 62
_symmetry_space_group_name_Hall '-P 2ac 2n'
_cell_length_a 5.892
_cell_length_b 4.016
_cell_length_c 5.421
_cell_angle_alpha 90.00
_cell_angle_beta 90.00
_cell_angle_gamma 90.00
loop_
_atom_site_label
_atom_site_fract_x
_atom_site_fract_y
_atom_site_fract_z
Zr1 0.157 0.250 0.127
Be1 0.054 0.250 0.614
# magnetic moment	0.00	μB per formula unit
# energy	-6.211	eV per atom


# GGA-PBE LiHf2Co, optimized geometry
data_LiHf2Co
_symmetry_space_group_name_H-M 'F -4 3 m'
_symmetry_Int_Tables_number 216
_symmetry_space_group_name_Hall 'F -4 2 3'
_cell_length_a 6.361
_cell_length_b 6.361
_cell_length_c 6.361
_cell_angle_alpha 90.00
_cell_angle_beta 90.00
_cell_angle_gamma 90.00
loop_
_atom_site_label
_atom_site_fract_x
_atom_site_fract_y
_atom_site_fract_z
Li1 0.000 0.000 0.000
Hf1 0.000 0.000 0.500
Hf2 0.250 0.250 0.750
Co1 0.250 0.250 0.250
# magnetic moment	0.02	μB per formula unit
# energy	-6.908	eV per atom


# GGA-PBE ThNi3, optimized geometry
data_ThNi3
_symmetry_space_group_name_H-M 'P 63/m m c'
_symmetry_Int_Tables_number 194
_symmetry_space_group_name_Hall '-P 6c 2c'
_cell_length_a 5.5942
_cell_length_b 5.5942
_cell_length_c 4.5627
_cell_angle_alpha 90.00
_cell_angle_beta 90.00
_cell_angle_gamma 120.00
loop_
_atom_site_label
_atom_site_fract_x
_atom_site_fract_y
_atom_site_fract_z
Th1 0.3333 0.6667 0.2500
Ni1 0.1483 0.2967 0.7500
# magnetic moment	0.00	μB per formula unit
# formation energy from the elements	-0.399	eV per atom


# GGA-PBE Li7GdO6, optimized geometry
data_Li7GdO6
_symmetry_space_group_name_H-M 'R 3'
_symmetry_Int_Tables_number 146
_symmetry_space_group_name_Hall 'R 3'
_cell_length_a 5.6451
_cell_length_b 5.6451
_cell_length_c 15.6303
_cell_angle_alpha 90.00
_cell_angle_beta 90.00
_cell_angle_gamma 120.00
loop_
_atom_site_label
_atom_site_fract_x
_atom_site_fract_y
_atom_site_fract_z
Li1 0.0000 0.0000 0.0000
Li2 0.0041 0.2864 0.5644
Li3 0.0137 0.6313 0.4684
Gd1 0.0000 0.0000 0.3502
O1 0.0066 0.6323 0.5956
O2 0.0362 0.3518 0.1070
# magnetic moment	2.00	μB per formula unit
# energy	-5.262	eV per atom


# GGA-PBE CdIn2As, optimized geometry
data_CdIn2As
_symmetry_space_group_name_H-M 'F -4 3 m'
_symmetry_Int_Tables_number 216
_symmetry_space_group_name_Hall 'F -4 2 3'
_cell_length_a 7.323
_cell_length_b 7.323
_cell_length_c 7.323
_cell_angle_alpha 90.00
_cell_angle_beta 90.00
_cell_angle_gamma 90.00
loop_
_atom_site_label
_atom_site_fract_x
_atom_site_fract_y
_atom_site_fract_z
Cd1 0.000 0.000 0.000
In1 0.000 0.000 0.500
In2 0.250 0.250 0.250
As1 0.250 0.250 0.750
# energy	-2.631	eV per atom


# GGA-PBE Re13Ni16, optimized geometry
data_Re13Ni16
_symmetry_space_group_name_H-M 'I -4 3 m'
_symmetry_Int_Tables_number 217
_symmetry_space_group_name_Hall 'I -4 2 3'
_cell_length_a 9.120
_cell_length_b 9.120
_cell_length_c 9.120
_cell_angle_alpha 90.00
_cell_angle_beta 90.00
_cell_angle_gamma 90.00
loop_
_atom_site_label
_atom_site_fract_x
_atom_site_fract_y
_atom_site_fract_z
Re1 0.000 0.000 0.000
Re2 0.094 0.094 0.712
Ni1 0.043 0.360 0.640
Ni2 0.174 0.174 0.174
# magnetic moment	0.01	μB per formula unit
# formation energy from the elements	0.092	eV per atom


# GGA-PBE CsHoCdSe3, optimized geometry
data_CsHoCdSe3
_symmetry_space_group_name_H-M 'C 1 2/m 1'
_symmetry_Int_Tables_number 12
_symmetry_space_group_name_Hall '-C 2y'
_cell_length_a 18.038
_cell_length_b 4.289
_cell_length_c 9.615
_cell_angle_alpha 90.00
_cell_angle_beta 101.55
_cell_angle_gamma 90.00
loop_
_atom_site_label
_atom_site_fract_x
_atom_site_fract_y
_atom_site_fract_z
Cs1 0.152 0.000 0.059
Ho1 0.168 0.000 0.571
Cd1 0.004 0.500 0.719
Se1 0.000 0.000 0.500
Se2 0.000 0.500 0.000
Se3 0.157 0.500 0.759
Se4 0.169 0.500 0.369
# magnetic moment	0.00	μB per formula unit
# energy	-4.047	eV per atom


# GGA-PBE ThBeHg, optimized geometry
data_ThBeHg
_symmetry_space_group_name_H-M 'F -4 3 m'
_symmetry_Int_Tables_number 216
_symmetry_space_group_name_Hall 'F -4 2 3'
_cell_length_a 6.523
_cell_length_b 6.523
_cell_length_c 6.523
_cell_angle_alpha 90.00
_cell_angle_beta 90.00
_cell_angle_gamma 90.00
loop_
_atom_site_label
_atom_site_fract_x
_atom_site_fract_y
_atom_site_fract_z
Th1 0.000 0.000 0.000
Be1 0.250 0.250 0.750
Hg1 0.000 0.000 0.500
# magnetic moment	0.00	μB per formula unit
# energy	-3.788	eV per atom